Material: BaMnCu2F8
Method: DFT, GGA+U
State: optimized geometry

Crystal system: trigonal
VASP energy (eV per atom): -4.98

```
12
Lattice="-4.337 -0.713 -3.119 2.728 -4.269 1.837 -4.356 -0.162 6.093" Properties=species:S:1:pos:R:3 pbc="T T T"
Ba 0.000 0.000 0.000
Mn -2.178 -0.081 3.047
Cu -3.178 -1.942 0.207
Cu -2.786 -3.200 4.605
F -3.895 -3.242 6.156
F -1.898 -1.485 1.615
F -4.508 -0.573 -0.226
F -2.069 -1.901 -1.344
F -1.456 -4.570 5.038
F -4.066 -3.658 3.196
F -2.153 -1.348 4.625
F -3.811 -3.795 0.187
```

=====

Material: Ba2MnCuF
Method: DFT, GGA+U
State: optimized geometry

Crystal system: tetragonal
VASP energy (eV per atom): -3.66

```
5
Lattice="-3.423 -5.191 -1.873 4.513 -1.364 -4.466 2.028 -2.334 2.763" Properties=species:S:1:pos:R:3 pbc="T T T"
Mn 0.000 0.000 0.000
Ba 2.256 -0.682 -2.233
Ba -1.711 -2.596 -0.936
Cu 1.559 -4.445 -1.788
F 1.014 -1.167 1.381
```

=====

Material: Ba2Mn3CuF12
Method: DFT, GGA+U
State: optimized geometry

Crystal system: trigonal
VASP energy (eV per atom): -5.67

```
18
Lattice="-1.710 1.968 6.764 4.124 -2.497 5.413 4.372 4.687 3.385" Properties=species:S:1:pos:R:3 pbc="T T T"
Ba 4.192 2.569 9.614
Ba 2.594 1.589 5.948
Mn -0.855 0.984 3.382
Mn 2.062 -1.249 2.706
Mn 2.186 2.344 1.693
Cu 0.000 0.000 0.000
F 4.496 3.918 6.463
F 3.862 1.444 11.904
F 6.653 2.692 10.354
F 0.973 2.343 8.421
F 3.976 4.742 10.973
F 4.352 -0.244 7.638
F 2.290 0.239 9.098
F 2.924 2.713 3.657
F 0.133 1.465 5.208
F 5.813 1.815 7.141
F 2.810 -0.584 4.588
F 2.434 4.402 7.923
```

=====

Material: BaMnCuF6
Method: DFT, GGA+U
State: optimized geometry

Crystal system: trigonal
VASP energy (eV per atom): -5.43

```
9
Lattice="-5.442 -0.503 1.066 1.074 -4.174 3.515 -0.120 5.240 1.859" Properties=species:S:1:pos:R:3 pbc="T T T"
Ba 0.278 2.102 2.411
Mn -2.045 -1.287 3.496
Cu -2.721 -0.251 0.533
F -3.165 0.205 4.511
F -3.504 -1.517 1.970
F -2.851 -2.862 4.671
F -1.277 0.001 1.993
F -0.832 -2.920 2.886
F -0.640 -0.630 4.947
```

=====

Material: Ba2CuMo2F14
Method: DFT, GGA+U
State: optimized geometry

Crystal system: monoclinic
VASP energy (eV per atom): -5.35

```
38
Lattice="7.862 -0.018 -0.066 5.977 5.107 -0.066 0.681 0.251 15.827" Properties=species:S:1:pos:R:3 pbc="T T T"
Ba 11.749 4.812 9.908
Ba 11.727 3.821 1.994
Ba 2.771 0.528 5.788
Ba 2.793 1.518 13.702
Cu 6.919 2.544 -0.066
Cu 7.260 2.670 7.848
Mo 12.610 4.854 13.744
Mo 1.910 0.485 1.952
Mo 12.410 4.346 5.830
Mo 2.110 0.993 9.865
F 7.913 0.439 5.457
F 5.557 0.510 7.171
F 8.963 4.829 8.525
F 3.614 2.206 9.369
F 6.655 2.034 9.466
F 8.474 2.703 14.144
F 4.904 3.337 15.085
F 7.867 0.422 2.325
F 12.103 3.509 12.280
F 10.906 3.134 6.327
F 6.132 1.110 12.502
F 10.679 4.803 14.241
F 5.049 3.002 4.588
F 8.388 4.229 3.194
F 6.046 2.636 1.552
F 2.417 1.830 3.416
F 7.507 4.433 0.190
F 6.607 4.900 10.239
F 7.013 0.906 15.506
F 8.931 1.611 8.103
F 9.616 2.002 0.611
F 9.471 2.337 11.108
F 11.152 5.043 4.366
F 5.589 3.728 7.593
F 7.865 3.305 6.230
F 6.653 4.917 13.371
F 3.368 0.297 11.330
F 3.841 0.536 1.455
```